1.
VASP calculation (PBE) on Sc2AlHg after structural relaxation.

Calculated values
crystal system = trigonal
total magnetic moment = 0.00 Bohr magnetons per cell
symmetry = R-3m

Geometry as CIF:
```
data_Sc2AlHg
_cell_length_a 10.427
_cell_length_b 10.427
_cell_length_c 10.427
_cell_angle_alpha 18.06
_cell_angle_beta 18.06
_cell_angle_gamma 18.06
_symmetry_space_group_name_H-M 'P 1'
_symmetry_Int_Tables_number 1
loop_
_symmetry_equiv_pos_as_xyz
'x,y,z'
loop_
_atom_site_label
_atom_site_type_symbol
_atom_site_fract_x
_atom_site_fract_y
_atom_site_fract_z
Sc1 Sc 0.904 0.904 0.904
Sc2 Sc 0.096 0.096 0.096
Hg1 Hg 0.000 0.000 0.000
Al1 Al 0.500 0.500 0.500
```



2.
VASP calculation (PBE) on SmScAlHg after structural relaxation.

Calculated values
crystal system = cubic
total magnetic moment = 0.00 Bohr magnetons per cell
symmetry = F-43m

Geometry as CIF:
```
data_SmScAlHg
_cell_length_a 5.121
_cell_length_b 5.121
_cell_length_c 5.121
_cell_angle_alpha 60.00
_cell_angle_beta 60.00
_cell_angle_gamma 60.00
_symmetry_space_group_name_H-M 'P 1'
_symmetry_Int_Tables_number 1
loop_
_symmetry_equiv_pos_as_xyz
'x,y,z'
loop_
_atom_site_label
_atom_site_type_symbol
_atom_site_fract_x
_atom_site_fract_y
_atom_site_fract_z
Sc1 Sc 0.000 0.000 0.000
Hg1 Hg 0.250 0.250 0.250
Sm1 Sm 0.500 0.500 0.500
Al1 Al 0.750 0.750 0.750
```



3.
VASP calculation (PBE) on SrScAlHg after structural relaxation.

Calculated values
crystal system = cubic
total magnetic moment = 0.00 Bohr magnetons per cell
symmetry = F-43m

Geometry as CIF:
```
data_SrScAlHg
_cell_length_a 5.262
_cell_length_b 5.262
_cell_length_c 5.262
_cell_angle_alpha 60.00
_cell_angle_beta 60.00
_cell_angle_gamma 60.00
_symmetry_space_group_name_H-M 'P 1'
_symmetry_Int_Tables_number 1
loop_
_symmetry_equiv_pos_as_xyz
'x,y,z'
loop_
_atom_site_label
_atom_site_type_symbol
_atom_site_fract_x
_atom_site_fract_y
_atom_site_fract_z
Sc1 Sc 0.250 0.250 0.250
Sr1 Sr 0.750 0.750 0.750
Hg1 Hg 0.000 0.000 0.000
Al1 Al 0.500 0.500 0.500
```



4.
VASP calculation (PBE) on TbScAlHg after structural relaxation.

Calculated values
crystal system = cubic
total magnetic moment = 0.00 Bohr magnetons per cell
symmetry = F-43m

Geometry as CIF:
```
data_TbScAlHg
_cell_length_a 5.070
_cell_length_b 5.070
_cell_length_c 5.070
_cell_angle_alpha 60.00
_cell_angle_beta 60.00
_cell_angle_gamma 60.00
_symmetry_space_group_name_H-M 'P 1'
_symmetry_Int_Tables_number 1
loop_
_symmetry_equiv_pos_as_xyz
'x,y,z'
loop_
_atom_site_label
_atom_site_type_symbol
_atom_site_fract_x
_atom_site_fract_y
_atom_site_fract_z
Sc1 Sc 0.750 0.750 0.750
Tb1 Tb 0.250 0.250 0.250
Hg1 Hg 0.000 0.000 0.000
Al1 Al 0.500 0.500 0.500
```



5.
VASP calculation (PBE) on TmScAlHg after structural relaxation.

Calculated values
crystal system = cubic
total magnetic moment = 0.00 Bohr magnetons per cell
symmetry = F-43m

Geometry as CIF:
```
data_TmScAlHg
_cell_length_a 5.021
_cell_length_b 5.021
_cell_length_c 5.021
_cell_angle_alpha 60.00
_cell_angle_beta 60.00
_cell_angle_gamma 60.00
_symmetry_space_group_name_H-M 'P 1'
_symmetry_Int_Tables_number 1
loop_
_symmetry_equiv_pos_as_xyz
'x,y,z'
loop_
_atom_site_label
_atom_site_type_symbol
_atom_site_fract_x
_atom_site_fract_y
_atom_site_fract_z
Sc1 Sc 0.000 0.000 0.000
Tm1 Tm 0.500 0.500 0.500
Hg1 Hg 0.250 0.250 0.250
Al1 Al 0.750 0.750 0.750
```



6.
VASP calculation (PBE) on Sc2AlVHg after structural relaxation.

Calculated values
crystal system = tetragonal
total magnetic moment = 3.63 Bohr magnetons per cell
symmetry = P4/mmm

Geometry as CIF:
```
data_Sc2AlVHg
_cell_length_a 5.288
_cell_length_b 4.778
_cell_length_c 5.288
_cell_angle_alpha 90.00
_cell_angle_beta 90.00
_cell_angle_gamma 90.00
_symmetry_space_group_name_H-M 'P 1'
_symmetry_Int_Tables_number 1
loop_
_symmetry_equiv_pos_as_xyz
'x,y,z'
loop_
_atom_site_label
_atom_site_type_symbol
_atom_site_fract_x
_atom_site_fract_y
_atom_site_fract_z
Sc1 Sc 0.000 0.000 0.500
Sc2 Sc 0.500 0.000 0.000
Al1 Al 0.000 0.500 0.000
Hg1 Hg 0.000 0.000 0.000
V1 V 0.500 0.500 0.500
```



7.
VASP calculation (PBE) on ZrScAlHg after structural relaxation.

Calculated values
crystal system = tetragonal
total magnetic moment = 0.21 Bohr magnetons per cell
E above lowest polymorph = 0.0000 eV per atom
symmetry = P4mm

Geometry as CIF:
```
data_ZrScAlHg
_cell_length_a 3.152
_cell_length_b 3.152
_cell_length_c 8.242
_cell_angle_alpha 90.00
_cell_angle_beta 90.00
_cell_angle_gamma 90.00
_symmetry_space_group_name_H-M 'P 1'
_symmetry_Int_Tables_number 1
loop_
_symmetry_equiv_pos_as_xyz
'x,y,z'
loop_
_atom_site_label
_atom_site_type_symbol
_atom_site_fract_x
_atom_site_fract_y
_atom_site_fract_z
Zr1 Zr 0.500 0.500 0.809
Sc1 Sc 0.500 0.500 0.328
Al1 Al 0.000 0.000 0.572
Hg1 Hg 0.000 0.000 0.075
```



8.
VASP calculation (PBE) on ZrScAlHg after structural relaxation.

Calculated values
crystal system = cubic
total magnetic moment = 0.00 Bohr magnetons per cell
E above lowest polymorph = 0.0764 eV per atom
symmetry = F-43m

Geometry as CIF:
```
data_ZrScAlHg
_cell_length_a 4.894
_cell_length_b 4.894
_cell_length_c 4.894
_cell_angle_alpha 60.00
_cell_angle_beta 60.00
_cell_angle_gamma 60.00
_symmetry_space_group_name_H-M 'P 1'
_symmetry_Int_Tables_number 1
loop_
_symmetry_equiv_pos_as_xyz
'x,y,z'
loop_
_atom_site_label
_atom_site_type_symbol
_atom_site_fract_x
_atom_site_fract_y
_atom_site_fract_z
Sc1 Sc 0.000 0.000 0.000
Hg1 Hg 0.250 0.250 0.250
Zr1 Zr 0.500 0.500 0.500
Al1 Al 0.750 0.750 0.750
```



For the records above, the corresponding electronic total energy values read -4.18; -4.14; -3.23; -4.14; -4.10; -4.36; -5.10; -5.02 eV/atom.
For the records above, the corresponding formation energy from the elements values read 0.00; -0.37; -0.22; -0.39; -0.39; 0.80; -0.37; -0.29 eV per atom.